# 1
{"formula": "TeBrF3", "functional": "PBE", "state": "optimized geometry", "lattice": [[4.623, 0.000, 0.000], [0.000, 4.623, 0.000], [0.000, 0.000, 4.623]], "species": ["Te", "Br", "F", "F", "F"], "frac_coords": [[0.500, 0.500, 0.500], [0.000, 0.000, 0.000], [0.000, 0.500, 0.000], [0.000, 0.000, 0.500], [0.500, 0.000, 0.000]], "e_tot_ev_per_atom": -2.27, "e_form_raw_mev_per_atom": -182, "volume_a3_per_cell": 99}

=====

# 2
{"formula": "Te2BrF2", "functional": "PBE", "state": "optimized geometry", "lattice": [[-2.550, 5.711, -4.586], [-3.074, -5.242, -4.819], [-2.762, 0.097, 1.656]], "species": ["Te", "Te", "Te", "Te", "Br", "Br", "F", "F", "F", "F"], "frac_coords": [[0.370, 0.870, 0.000], [0.870, 0.630, 0.000], [0.630, 0.130, 0.000], [0.130, 0.370, 0.000], [0.000, 0.000, 0.000], [0.500, 0.500, 0.000], [0.166, 0.666, 0.500], [0.666, 0.834, 0.500], [0.834, 0.334, 0.500], [0.334, 0.166, 0.500]], "e_tot_ev_per_atom": -2.97, "e_form_raw_mev_per_atom": -634, "volume_a3_per_cell": 194}

=====

# 3
{"formula": "TeBr3F", "functional": "PBE", "state": "optimized geometry", "lattice": [[4.820, 0.000, 0.000], [0.000, 6.124, -2.000], [0.000, -6.920, 26.208]], "species": ["Te", "Te", "Te", "Te", "Br", "Br", "Br", "Br", "Br", "Br", "Br", "Br", "Br", "Br", "Br", "Br", "F", "F", "F", "F"], "frac_coords": [[0.831, 0.130, 0.844], [0.169, 0.130, 0.344], [0.831, 0.870, 0.656], [0.169, 0.870, 0.156], [0.781, 0.457, 0.560], [0.219, 0.457, 0.060], [0.260, 0.667, 0.221], [0.095, 0.935, 0.893], [0.740, 0.667, 0.721], [0.219, 0.543, 0.440], [0.095, 0.065, 0.607], [0.260, 0.333, 0.279], [0.905, 0.065, 0.107], [0.740, 0.333, 0.779], [0.781, 0.543, 0.940], [0.905, 0.935, 0.393], [0.205, 0.821, 0.673], [0.205, 0.179, 0.827], [0.795, 0.821, 0.173], [0.795, 0.179, 0.327]], "e_tot_ev_per_atom": -2.72, "e_form_raw_mev_per_atom": -713, "volume_a3_per_cell": 707}

=====

# 4
{"formula": "Te2BrF", "functional": "PBE", "state": "optimized geometry", "lattice": [[1.988, 0.000, 9.521], [-0.994, 1.722, 9.521], [-0.994, -1.722, 9.521]], "species": ["Te", "Te", "Br", "F"], "frac_coords": [[0.079, 0.079, 0.079], [0.921, 0.921, 0.921], [0.500, 0.500, 0.500], [0.000, 0.000, 0.000]], "e_tot_ev_per_atom": -2.75, "e_form_raw_mev_per_atom": -296, "volume_a3_per_cell": 98}

=====

# 5
{"formula": "TeBr3F", "functional": "PBE", "state": "optimized geometry", "lattice": [[5.491, 0.000, 0.000], [0.000, 5.491, 0.000], [0.000, 0.000, 5.491]], "species": ["Te", "Br", "Br", "Br", "F"], "frac_coords": [[0.000, 0.000, 0.000], [0.000, 0.500, 0.000], [0.000, 0.000, 0.500], [0.500, 0.000, 0.000], [0.500, 0.500, 0.500]], "e_tot_ev_per_atom": -2.10, "e_form_raw_mev_per_atom": -99, "volume_a3_per_cell": 166}

=====

# 6
{"formula": "Te3BrF", "functional": "PBE", "state": "optimized geometry", "lattice": [[-1.111, -5.250, 1.310], [1.713, -1.610, -4.999], [5.133, -0.599, 1.952]], "species": ["Te", "Te", "Te", "Br", "F"], "frac_coords": [[0.000, 0.500, 0.000], [0.000, 0.000, 0.500], [0.500, 0.000, 0.000], [0.000, 0.000, 0.000], [0.500, 0.500, 0.500]], "e_tot_ev_per_atom": -1.88, "e_form_raw_mev_per_atom": 715, "volume_a3_per_cell": 169}

=====

# 7
{"formula": "TeBrF2", "functional": "PBE", "state": "optimized geometry", "lattice": [[0.291, -1.400, 8.469], [3.526, -1.429, 7.700], [1.969, 1.461, 8.232]], "species": ["Te", "Br", "F", "F"], "frac_coords": [[0.500, 0.500, 0.500], [0.000, 0.000, 0.000], [0.921, 0.921, 0.921], [0.079, 0.079, 0.079]], "e_tot_ev_per_atom": -2.63, "e_form_raw_mev_per_atom": -487, "volume_a3_per_cell": 80}

=====

# 8
{"formula": "TeBr3F", "functional": "PBE", "state": "optimized geometry", "lattice": [[-1.364, 2.446, -4.118], [-2.872, -3.844, -1.332], [-3.833, 2.010, 2.463]], "species": ["Te", "Br", "Br", "Br", "F"], "frac_coords": [[0.500, 0.500, 0.500], [0.000, 0.500, 0.000], [0.000, 0.000, 0.500], [0.500, 0.000, 0.000], [0.000, 0.000, 0.000]], "e_tot_ev_per_atom": -1.57, "e_form_raw_mev_per_atom": 433, "volume_a3_per_cell": 123}

=====

# 9
{"formula": "TeBrF2", "functional": "PBE", "state": "optimized geometry", "lattice": [[4.603, 0.000, 0.000], [0.000, 4.603, 0.000], [2.302, 2.302, 7.530]], "species": ["Te", "Te", "Br", "Br", "F", "F", "F", "F"], "frac_coords": [[0.000, 0.000, 0.000], [0.750, 0.250, 0.500], [0.500, 0.500, 0.000], [0.250, 0.750, 0.500], [0.822, 0.125, 0.250], [0.928, 0.625, 0.250], [0.375, 0.178, 0.750], [0.875, 0.072, 0.750]], "e_tot_ev_per_atom": -3.05, "e_form_raw_mev_per_atom": -909, "volume_a3_per_cell": 160}

=====

# 10
{"formula": "TeBrF2", "functional": "PBE", "state": "optimized geometry", "lattice": [[0.000, 3.179, 3.179], [3.179, 0.000, 3.179], [3.179, 3.179, 0.000]], "species": ["Te", "Br", "F", "F"], "frac_coords": [[0.500, 0.500, 0.500], [0.000, 0.000, 0.000], [0.250, 0.250, 0.250], [0.750, 0.750, 0.750]], "e_tot_ev_per_atom": -2.63, "e_form_raw_mev_per_atom": -489, "volume_a3_per_cell": 64}

=====

# 11
{"formula": "TeBrF3", "functional": "PBE", "state": "optimized geometry", "lattice": [[-4.238, 1.368, -3.305], [0.831, -4.474, -2.916], [-4.658, -3.752, 4.423]], "species": ["Te", "Te", "Br", "Br", "F", "F", "F", "F", "F", "F"], "frac_coords": [[0.147, 0.700, 0.701], [0.647, 0.653, 0.201], [0.415, 0.307, 0.701], [0.915, 0.046, 0.201], [0.368, 0.433, 0.201], [0.474, 0.808, 0.008], [0.974, 0.545, 0.508], [0.868, 0.920, 0.701], [0.974, 0.545, 0.894], [0.474, 0.808, 0.393]], "e_tot_ev_per_atom": -3.68, "e_form_raw_mev_per_atom": -1595, "volume_a3_per_cell": 223}

=====

# 12
{"formula": "Te2BrF2", "functional": "PBE", "state": "optimized geometry", "lattice": [[4.525, 0.000, 0.000], [0.000, 4.525, 0.000], [2.263, 2.263, 5.366]], "species": ["Te", "Te", "Br", "F", "F"], "frac_coords": [[0.378, 0.378, 0.244], [0.622, 0.622, 0.756], [0.000, 0.000, 0.000], [0.750, 0.250, 0.500], [0.250, 0.750, 0.500]], "e_tot_ev_per_atom": -2.91, "e_form_raw_mev_per_atom": -569, "volume_a3_per_cell": 110}